The following is a PBE-GGA calculation of H2OsS after structural relaxation, from Alexandria.

Output
SG: No. 225
Density, g cm⁻³: 10.7
Polymorph energy (0 for the lowest one), meV per atom: 513
Volume, Å³ per cell: 34.9
Spin magnetization, μB per formula unit: 0.0

Unit cell a=3.669 b=3.669 c=3.669 alpha=60.00 beta=60.00 gamma=60.00
Element x y z (fractional)
1 H 0.250 0.250 0.250
2 H 0.750 0.750 0.750
3 Os 0.000 0.000 0.000
4 S 0.500 0.500 0.500

***

The following is a PBE-GGA calculation of HOs2S after structural relaxation, from Alexandria.

Output
SG: No. 122
Density, g cm⁻³: 13.8
Polymorph energy (0 for the lowest one), meV per atom: 0
Volume, Å³ per cell: 99.8
Spin magnetization, μB per formula unit: 0.0

Unit cell a=5.559 b=5.559 c=5.559 alpha=129.47 beta=129.47 gamma=74.26
Element x y z (fractional)
1 H 0.000 0.000 0.000
2 H 0.750 0.250 0.500
3 Os 0.028 0.625 0.903
4 Os 0.375 0.278 0.403
5 Os 0.722 0.125 0.097
6 Os 0.875 0.972 0.597
7 S 0.250 0.750 0.500
8 S 0.500 0.500 0.000

***

The following is a PBE-GGA calculation of HOs2S after structural relaxation, from Alexandria.

Output
SG: No. 225
Density, g cm⁻³: 15.4
Polymorph energy (0 for the lowest one), meV per atom: 333
Volume, Å³ per cell: 44.6
Spin magnetization, μB per formula unit: 0.0

Unit cell a=3.979 b=3.979 c=3.979 alpha=60.00 beta=60.00 gamma=60.00
Element x y z (fractional)
1 H 0.000 0.000 0.000
2 Os 0.250 0.250 0.250
3 Os 0.750 0.750 0.750
4 S 0.500 0.500 0.500

***

The following is a PBE-GGA calculation of HOsS3 after structural relaxation, from Alexandria.

Output
SG: No. 221
Density, g cm⁻³: 7.9
Polymorph energy (0 for the lowest one), meV per atom: 357
Volume, Å³ per cell: 60.6
Spin magnetization, μB per formula unit: 0.0

Unit cell a=3.927 b=3.927 c=3.927 alpha=90.00 beta=90.00 gamma=90.00
Element x y z (fractional)
1 H 0.000 0.000 0.000
2 Os 0.500 0.500 0.500
3 S 0.000 0.000 0.500
4 S 0.000 0.500 0.000
5 S 0.500 0.000 0.000

***

The following is a PBE-GGA calculation of HOsS3 after structural relaxation, from Alexandria.

Output
SG: No. 221
Density, g cm⁻³: 4.8
Polymorph energy (0 for the lowest one), meV per atom: 0
Volume, Å³ per cell: 99.6
Spin magnetization, μB per formula unit: 0.7

Unit cell a=4.635 b=4.635 c=4.635 alpha=90.00 beta=90.00 gamma=90.00
Element x y z (fractional)
1 H 0.000 0.000 0.000
2 Os 0.500 0.500 0.500
3 S 0.000 0.500 0.500
4 S 0.500 0.000 0.500
5 S 0.500 0.500 0.000

***

The following is a PBE-GGA calculation of Th8HOs4S3 after structural relaxation, from Alexandria.

Output
Final energy, eV/cell: -133.4
SG: No. 166
Density, g cm⁻³: 11.1
Volume, Å³ per cell: 406.8
Spin magnetization, μB per formula unit: 0.0

Unit cell a=8.428 b=8.428 c=8.428 alpha=58.29 beta=58.29 gamma=58.29
Element x y z (fractional)
1 Th 0.241 0.742 0.742
2 Th 0.242 0.242 0.242
3 Th 0.258 0.258 0.759
4 Th 0.258 0.759 0.258
5 Th 0.742 0.241 0.742
6 Th 0.742 0.742 0.241
7 Th 0.758 0.758 0.758
8 Th 0.759 0.258 0.258
9 H 0.000 0.000 0.000
10 Os 0.000 0.000 0.500
11 Os 0.000 0.500 0.000
12 Os 0.500 0.000 0.000
13 Os 0.500 0.500 0.500
14 S 0.000 0.500 0.500
15 S 0.500 0.000 0.500
16 S 0.500 0.500 0.000

***

The following is a PBE-GGA calculation of SbH2Os after structural relaxation, from Alexandria.

Output
SG: No. 6
Density, g cm⁻³: 9.4
Polymorph energy (0 for the lowest one), meV per atom: 66
Volume, Å³ per cell: 55.3
Spin magnetization, μB per formula unit: 0.0

Unit cell a=3.080 b=3.079 c=5.829 alpha=90.00 beta=90.42 gamma=90.00
Element x y z (fractional)
1 Sb 0.000 0.000 0.000
2 H 0.493 0.000 0.541
3 H 0.993 0.500 0.542
4 Os 0.496 0.500 0.706

***

The following is a PBE-GGA calculation of SbH2Os after structural relaxation, from Alexandria.

Output
SG: No. 107
Density, g cm⁻³: 10.9
Polymorph energy (0 for the lowest one), meV per atom: 46
Volume, Å³ per cell: 47.8
Spin magnetization, μB per formula unit: 0.0

Unit cell a=4.870 b=4.870 c=4.870 alpha=139.73 beta=139.73 gamma=58.26
Element x y z (fractional)
1 Sb 0.000 0.000 0.000
2 H 0.244 0.744 0.500
3 H 0.744 0.244 0.500
4 Os 0.320 0.320 0.000

***

The following is a PBE-GGA calculation of SbHOs after structural relaxation, from Alexandria.

Output
Final energy, eV/cell: -35.7
SG: No. 12
Density, g cm⁻³: 12.2
Volume, Å³ per cell: 85.1
Spin magnetization, μB per formula unit: 0.0

Unit cell a=5.089 b=5.089 c=5.555 alpha=100.85 beta=100.85 gamma=37.12
Element x y z (fractional)
1 Sb 0.115 0.115 0.293
2 Sb 0.885 0.885 0.707
3 H 0.400 0.400 0.286
4 H 0.600 0.600 0.714
5 Os 0.174 0.174 0.793
6 Os 0.826 0.826 0.207

***

The following is a PBE-GGA calculation of SbHOs3 after structural relaxation, from Alexandria.

Output
SG: No. 221
Density, g cm⁻³: 9.9
Polymorph energy (0 for the lowest one), meV per atom: 2533
Volume, Å³ per cell: 116.7
Spin magnetization, μB per formula unit: 3.2

Unit cell a=4.886 b=4.886 c=4.886 alpha=90.00 beta=90.00 gamma=90.00
Element x y z (fractional)
1 Sb 0.000 0.000 0.000
2 H 0.500 0.500 0.500
3 Os 0.000 0.000 0.500
4 Os 0.000 0.500 0.000
5 Os 0.500 0.000 0.000

***

The following is a PBE-GGA calculation of SbH2Os after structural relaxation, from Alexandria.

Output
SG: No. 119
Density, g cm⁻³: 10.7
Polymorph energy (0 for the lowest one), meV per atom: 0
Volume, Å³ per cell: 48.8
Spin magnetization, μB per formula unit: 0.0

Unit cell a=4.789 b=4.789 c=4.789 alpha=137.89 beta=137.89 gamma=61.06
Element x y z (fractional)
1 Sb 0.000 0.000 0.000
2 H 0.317 0.317 0.000
3 H 0.683 0.683 0.000
4 Os 0.250 0.750 0.500

***

The following is a PBE-GGA calculation of SbHOs2 after structural relaxation, from Alexandria.

Output
SG: No. 225
Density, g cm⁻³: 14.8
Polymorph energy (0 for the lowest one), meV per atom: 382
Volume, Å³ per cell: 56.5
Spin magnetization, μB per formula unit: 0.0

Unit cell a=4.306 b=4.306 c=4.306 alpha=60.00 beta=60.00 gamma=60.00
Element x y z (fractional)
1 Sb 0.000 0.000 0.000
2 H 0.500 0.500 0.500
3 Os 0.250 0.250 0.250
4 Os 0.750 0.750 0.750

***

The following is a PBE-GGA calculation of Sb2HOs after structural relaxation, from Alexandria.

Output
SG: No. 225
Density, g cm⁻³: 10.9
Polymorph energy (0 for the lowest one), meV per atom: 0
Volume, Å³ per cell: 66.2
Spin magnetization, μB per formula unit: 0.0

Unit cell a=4.541 b=4.541 c=4.541 alpha=60.00 beta=60.00 gamma=60.00
Element x y z (fractional)
1 Sb 0.250 0.250 0.250
2 Sb 0.750 0.750 0.750
3 H 0.000 0.000 0.000
4 Os 0.500 0.500 0.500

***

The following is a PBE-GGA calculation of SbH2Os after structural relaxation, from Alexandria.

Output
SG: No. 8
Density, g cm⁻³: 10.3
Polymorph energy (0 for the lowest one), meV per atom: 136
Volume, Å³ per cell: 50.7
Spin magnetization, μB per formula unit: 0.0

Unit cell a=5.011 b=5.011 c=3.346 alpha=94.56 beta=94.56 gamma=37.27
Element x y z (fractional)
1 Sb 0.000 0.000 0.000
2 H 0.325 0.325 0.439
3 H 0.716 0.716 0.738
4 Os 0.275 0.275 0.922

***

The following is a PBE-GGA calculation of SbHOs2 after structural relaxation, from Alexandria.

Output
SG: No. 122
Density, g cm⁻³: 14.0
Polymorph energy (0 for the lowest one), meV per atom: 0
Volume, Å³ per cell: 119.5
Spin magnetization, μB per formula unit: 0.0

Unit cell a=6.046 b=6.046 c=6.046 alpha=132.02 beta=132.02 gamma=70.20
Element x y z (fractional)
1 Sb 0.000 0.000 0.000
2 Sb 0.750 0.250 0.500
3 H 0.250 0.750 0.500
4 H 0.500 0.500 0.000
5 Os 0.283 0.625 0.158
6 Os 0.375 0.533 0.658
7 Os 0.467 0.125 0.842
8 Os 0.875 0.717 0.342

***

The following is a PBE-GGA calculation of SbH2Os after structural relaxation, from Alexandria.

Output
SG: No. 141
Density, g cm⁻³: 10.9
Polymorph energy (0 for the lowest one), meV per atom: 463
Volume, Å³ per cell: 95.7
Spin magnetization, μB per formula unit: 0.0

Unit cell a=6.728 b=6.728 c=6.728 alpha=145.83 beta=145.83 gamma=49.10
Element x y z (fractional)
1 Sb 0.375 0.625 0.750
2 Sb 0.625 0.375 0.250
3 H 0.000 0.000 0.000
4 H 0.000 0.000 0.500
5 H 0.000 0.500 0.000
6 H 0.500 0.000 0.500
7 Os 0.125 0.875 0.250
8 Os 0.875 0.125 0.750

***

The following is a PBE-GGA calculation of SbHOs3 after structural relaxation, from Alexandria.

Output
SG: No. 221
Density, g cm⁻³: 17.6
Polymorph energy (0 for the lowest one), meV per atom: 0
Volume, Å³ per cell: 65.3
Spin magnetization, μB per formula unit: 0.6

Unit cell a=4.027 b=4.027 c=4.027 alpha=90.00 beta=90.00 gamma=90.00
Element x y z (fractional)
1 Sb 0.000 0.000 0.000
2 H 0.500 0.500 0.500
3 Os 0.000 0.500 0.500
4 Os 0.500 0.000 0.500
5 Os 0.500 0.500 0.000

***

The following is a PBE-GGA calculation of Sb2HOs after structural relaxation, from Alexandria.

Output
SG: No. 122
Density, g cm⁻³: 10.2
Polymorph energy (0 for the lowest one), meV per atom: 151
Volume, Å³ per cell: 142.2
Spin magnetization, μB per formula unit: 0.0

Unit cell a=5.710 b=5.710 c=5.710 alpha=112.51 beta=112.51 gamma=103.55
Element x y z (fractional)
1 Sb 0.072 0.125 0.447
2 Sb 0.375 0.928 0.053
3 Sb 0.678 0.625 0.553
4 Sb 0.875 0.322 0.947
5 H 0.000 0.000 0.000
6 H 0.750 0.250 0.500
7 Os 0.250 0.750 0.500
8 Os 0.500 0.500 0.000

***

The following is a PBE-GGA calculation of SbH2Os after structural relaxation, from Alexandria.

Output
SG: No. 225
Density, g cm⁻³: 11.8
Polymorph energy (0 for the lowest one), meV per atom: 1040
Volume, Å³ per cell: 44.3
Spin magnetization, μB per formula unit: 0.0

Unit cell a=3.973 b=3.973 c=3.973 alpha=60.00 beta=60.00 gamma=60.00
Element x y z (fractional)
1 Sb 0.000 0.000 0.000
2 H 0.250 0.250 0.250
3 H 0.750 0.750 0.750
4 Os 0.500 0.500 0.500

***

The following is a PBE-GGA calculation of Sb2H5Os after structural relaxation, from Alexandria.

Output
Final energy, eV/cell: -34.4
SG: No. 8
Density, g cm⁻³: 6.5
Volume, Å³ per cell: 112.5
Spin magnetization, μB per formula unit: 0.0

Unit cell a=5.118 b=5.118 c=4.950 alpha=108.21 beta=108.21 gamma=98.56
Element x y z (fractional)
1 Sb 0.000 0.000 0.000
2 Sb 0.538 0.538 0.528
3 H 0.045 0.288 0.652
4 H 0.236 0.660 0.971
5 H 0.288 0.045 0.652
6 H 0.653 0.653 0.109
7 H 0.660 0.236 0.971
8 Os 0.369 0.369 0.919